1.
## AlCo2Pb (PBEsol)

Data for an optimized crystal structure of AlCo2Pb. Values from VASP.

Structure (Quantum ESPRESSO input):
```
&SYSTEM
  ibrav = 0, nat = 4, ntyp = 3
/
ATOMIC_SPECIES
Pb 207.20 Pb.upf
Co 58.93 Co.upf
Al 26.98 Al.upf
CELL_PARAMETERS angstrom
-0.8527 1.9959 2.9405
-2.7392 -2.2958 0.7640
4.4092 -2.1879 0.4923
ATOMIC_POSITIONS crystal
Pb 0.5000 0.5000 0.0000
Co 0.0000 0.0000 0.0000
Co 0.7500 0.2500 0.5000
Al 0.2500 0.7500 0.5000
```

Output
- Calculated formation energy: 0.255 eV per atom

2.
## TlRe2Au (PBEsol)

Data for an optimized crystal structure of TlRe2Au. Values from VASP.

Structure (Quantum ESPRESSO input):
```
&SYSTEM
  ibrav = 0, nat = 4, ntyp = 3
/
ATOMIC_SPECIES
Au 196.97 Au.upf
Re 186.21 Re.upf
Tl 204.38 Tl.upf
CELL_PARAMETERS angstrom
-2.5090 1.3110 -0.6507
-0.2839 -4.5717 -1.6328
-1.5630 -0.6072 4.8036
ATOMIC_POSITIONS crystal
Au 0.5000 0.0000 0.0000
Re 0.7508 0.5016 0.7816
Re 0.2492 0.4984 0.2184
Tl 0.0000 0.0000 0.5000
```

Output
- Calculated formation energy: 0.782 eV per atom
- Energy above the most stable polymorph in this dataset: 46.2 meV/atom

3.
## RuPbBr2 (PBEsol)

Data for an optimized crystal structure of RuPbBr2. Values from VASP.

Structure (Quantum ESPRESSO input):
```
&SYSTEM
  ibrav = 0, nat = 4, ntyp = 3
/
ATOMIC_SPECIES
Pb 207.20 Pb.upf
Ru 101.07 Ru.upf
Br 79.90 Br.upf
CELL_PARAMETERS angstrom
-2.8385 -1.8086 -0.7357
-0.1353 -1.6837 4.6614
-1.8440 6.3385 -0.4008
ATOMIC_POSITIONS crystal
Pb 0.0000 0.5000 0.0000
Ru 0.5000 0.0000 0.0000
Br 0.8414 0.8414 0.6828
Br 0.1586 0.1586 0.3172
```

Output
- E_form (uncorrected): 0.28 eV/f.u.
- Energy above the most stable polymorph in this dataset: 0.0 meV/atom

4.
## La2TeCl (PBEsol)

Data for an optimized crystal structure of La2TeCl. Values from VASP.

Structure (Quantum ESPRESSO input):
```
&SYSTEM
  ibrav = 0, nat = 4, ntyp = 3
/
ATOMIC_SPECIES
Te 127.60 Te.upf
La 138.91 La.upf
Cl 35.45 Cl.upf
CELL_PARAMETERS angstrom
-2.9198 1.6659 2.6104
-3.0703 -2.0247 -2.1421
0.6092 -5.0637 3.9129
ATOMIC_POSITIONS crystal
Te 0.0000 0.0000 0.4252
La 0.0000 0.0000 0.9196
La 0.5000 0.5000 0.3052
Cl 0.5000 0.5000 0.8500
```

Output
- E_form (uncorrected): -6.13 eV/f.u.
- Energy above the most stable polymorph in this dataset: 69.1 meV/atom

5.
## Y2CuCl (PBEsol)

Data for an optimized crystal structure of Y2CuCl. Values from VASP.

Structure (Quantum ESPRESSO input):
```
&SYSTEM
  ibrav = 0, nat = 4, ntyp = 3
/
ATOMIC_SPECIES
Y 88.91 Y.upf
Cu 63.55 Cu.upf
Cl 35.45 Cl.upf
CELL_PARAMETERS angstrom
3.1777 0.0000 0.0000
0.0000 5.0577 0.0000
0.0000 0.0000 5.0577
ATOMIC_POSITIONS crystal
Y 0.0000 0.0000 0.5000
Y 0.0000 0.5000 0.0000
Cu 0.5000 0.0000 0.0000
Cl 0.5000 0.5000 0.5000
```

Output
- E_form (uncorrected): -2.29 eV/f.u.

6.
## Os3Rh (PBEsol)

Data for an optimized crystal structure of Os3Rh. Values from VASP.

Structure (Quantum ESPRESSO input):
```
&SYSTEM
  ibrav = 0, nat = 4, ntyp = 2
/
ATOMIC_SPECIES
Os 190.23 Os.upf
Rh 102.91 Rh.upf
CELL_PARAMETERS angstrom
-1.3546 -2.3262 -0.3828
2.7447 -1.0819 -3.1378
2.7750 -2.1367 3.1642
ATOMIC_POSITIONS crystal
Os 0.0000 0.0000 0.0024
Os 0.5000 0.0000 0.4997
Os 0.5000 0.5000 0.8310
Rh 0.0000 0.5000 0.3336
```

Output
- Calculated formation energy: 0.024 eV per atom

7.
## Mg2H2Pb (PBEsol)

Data for an optimized crystal structure of Mg2H2Pb. Values from VASP.

Structure (Quantum ESPRESSO input):
```
&SYSTEM
  ibrav = 0, nat = 5, ntyp = 3
/
ATOMIC_SPECIES
Pb 207.20 Pb.upf
H 1.01 H.upf
Mg 24.30 Mg.upf
CELL_PARAMETERS angstrom
3.3770 0.0000 0.0000
0.0000 3.3770 0.0000
-1.6885 -1.6885 6.4549
ATOMIC_POSITIONS crystal
Pb 0.0000 0.0000 0.0000
H 0.2500 0.7500 0.5000
H 0.7500 0.2500 0.5000
Mg 0.3347 0.3347 0.6695
Mg 0.6653 0.6653 0.3305
```

8.
## HgAs2Ir (PBEsol)

Data for an optimized crystal structure of HgAs2Ir. Values from VASP.

Structure (Quantum ESPRESSO input):
```
&SYSTEM
  ibrav = 0, nat = 4, ntyp = 3
/
ATOMIC_SPECIES
As 74.92 As.upf
Ir 192.22 Ir.upf
Hg 200.59 Hg.upf
CELL_PARAMETERS angstrom
-1.5155 1.5253 2.0469
-2.2666 0.2907 -1.8948
-3.3745 -7.2729 2.9209
ATOMIC_POSITIONS crystal
As 0.0000 0.0000 0.6901
As 0.0000 0.0000 0.3099
Ir 0.5000 0.5000 0.5000
Hg 0.5000 0.5000 0.0000
```

Output
- Calculated formation energy: 0.063 eV per atom

9.
## Ba2ZnCu (PBEsol)

Data for an optimized crystal structure of Ba2ZnCu. Values from VASP.

Structure (Quantum ESPRESSO input):
```
&SYSTEM
  ibrav = 0, nat = 4, ntyp = 3
/
ATOMIC_SPECIES
Zn 65.41 Zn.upf
Ba 137.33 Ba.upf
Cu 63.55 Cu.upf
CELL_PARAMETERS angstrom
-2.3254 -1.6501 3.5354
-1.3296 -3.6801 -2.5922
5.5639 -1.2002 3.0995
ATOMIC_POSITIONS crystal
Zn 0.5000 0.6748 0.3497
Ba 0.5000 0.9816 0.9633
Ba 0.0000 0.2655 0.5310
Cu 0.0000 0.5780 0.1560
```

Output
- Calculated formation energy: -0.040 eV per atom

10.
## GaCuN3 (PBEsol)

Data for an optimized crystal structure of GaCuN3. Values from VASP.

Structure (Quantum ESPRESSO input):
```
&SYSTEM
  ibrav = 0, nat = 5, ntyp = 3
/
ATOMIC_SPECIES
Cu 63.55 Cu.upf
Ga 69.72 Ga.upf
N 14.01 N.upf
CELL_PARAMETERS angstrom
-3.2937 1.3124 -1.2655
-0.4749 -3.1405 -2.0210
-1.7602 -1.6086 2.9132
ATOMIC_POSITIONS crystal
Cu 0.0000 0.0000 0.0000
Ga 0.5000 0.5000 0.5000
N 0.0000 0.5000 0.0000
N 0.0000 0.0000 0.5000
N 0.5000 0.0000 0.0000
```

Output
- E_form (uncorrected): 8.84 eV/f.u.

11.
## KTl2FeF (PBEsol)

Data for an optimized crystal structure of KTl2FeF. Values from VASP.

Structure (Quantum ESPRESSO input):
```
&SYSTEM
  ibrav = 0, nat = 5, ntyp = 4
/
ATOMIC_SPECIES
K 39.10 K.upf
Tl 204.38 Tl.upf
Fe 55.84 Fe.upf
F 19.00 F.upf
CELL_PARAMETERS angstrom
3.9707 0.0000 0.0000
0.0000 5.4818 0.0000
0.0000 0.0000 5.4818
ATOMIC_POSITIONS crystal
K 0.5000 0.5000 0.5000
Tl 0.0000 0.0000 0.5000
Tl 0.0000 0.5000 0.0000
Fe 0.0000 0.0000 0.0000
F 0.5000 0.0000 0.0000
```

Output
- E_form (uncorrected): -1.17 eV/f.u.

12.
## BaLi2Se2 (PBEsol)

Data for an optimized crystal structure of BaLi2Se2. Values from VASP.

Structure (Quantum ESPRESSO input):
```
&SYSTEM
  ibrav = 0, nat = 5, ntyp = 3
/
ATOMIC_SPECIES
Ba 137.33 Ba.upf
Se 78.96 Se.upf
Li 6.94 Li.upf
CELL_PARAMETERS angstrom
-2.0765 -1.9679 2.9361
-1.4395 -2.6393 -2.7869
7.0172 -1.6759 0.9777
ATOMIC_POSITIONS crystal
Ba 0.0000 0.0000 0.0000
Se 0.3634 0.3634 0.7269
Se 0.6366 0.6366 0.2731
Li 0.2500 0.7500 0.5000
Li 0.7500 0.2500 0.5000
```

Output
- E_form (uncorrected): -7.75 eV/f.u.

13.
## GeHCl3 (PBEsol)

Data for an optimized crystal structure of GeHCl3. Values from VASP.

Structure (Quantum ESPRESSO input):
```
&SYSTEM
  ibrav = 0, nat = 5, ntyp = 3
/
ATOMIC_SPECIES
H 1.01 H.upf
Ge 72.64 Ge.upf
Cl 35.45 Cl.upf
CELL_PARAMETERS angstrom
-0.3462 1.4716 4.0541
-1.0166 -3.9804 1.3581
4.1914 -0.8439 0.6643
ATOMIC_POSITIONS crystal
H 0.0000 0.0000 0.0000
Ge 0.5000 0.5000 0.5000
Cl 0.0000 0.5000 0.0000
Cl 0.0000 0.0000 0.5000
Cl 0.5000 0.0000 0.0000
```

14.
## MgZr2In (PBEsol)

Data for an optimized crystal structure of MgZr2In. Values from VASP.

Structure (Quantum ESPRESSO input):
```
&SYSTEM
  ibrav = 0, nat = 4, ntyp = 3
/
ATOMIC_SPECIES
Mg 24.30 Mg.upf
Zr 91.22 Zr.upf
In 114.82 In.upf
CELL_PARAMETERS angstrom
4.3664 0.0000 0.0000
0.0000 4.3664 0.0000
0.0000 0.0000 4.4343
ATOMIC_POSITIONS crystal
Mg 0.0000 0.0000 0.5000
Zr 0.0000 0.5000 0.0000
Zr 0.5000 0.0000 0.0000
In 0.5000 0.5000 0.5000
```

Output
- Calculated formation energy: -0.214 eV per atom

15.
## CoTc2W (PBEsol)

Data for an optimized crystal structure of CoTc2W. Values from VASP.

Structure (Quantum ESPRESSO input):
```
&SYSTEM
  ibrav = 0, nat = 4, ntyp = 3
/
ATOMIC_SPECIES
Co 58.93 Co.upf
Tc 98.00 Tc.upf
W 183.84 W.upf
CELL_PARAMETERS angstrom
-1.0339 -0.7454 2.3739
0.6578 -2.3853 1.0666
6.5905 2.6323 5.2259
ATOMIC_POSITIONS crystal
Co 0.2509 0.2509 0.2472
Tc 0.9982 0.9982 0.0054
Tc 0.7464 0.7464 0.7607
W 0.5044 0.5044 0.4867
```

Output
- Calculated formation energy: 0.203 eV per atom
- Energy above the most stable polymorph in this dataset: 181.0 meV/atom

16.
## Zn2IrSe (PBEsol)

Data for an optimized crystal structure of Zn2IrSe. Values from VASP.

Structure (Quantum ESPRESSO input):
```
&SYSTEM
  ibrav = 0, nat = 4, ntyp = 3
/
ATOMIC_SPECIES
Ir 192.22 Ir.upf
Se 78.96 Se.upf
Zn 65.41 Zn.upf
CELL_PARAMETERS angstrom
3.0231 0.0000 0.0000
1.5116 2.6181 0.0000
1.5116 0.8727 7.9789
ATOMIC_POSITIONS crystal
Ir 0.5013 0.5013 0.4962
Se 0.2426 0.2426 0.2721
Zn 0.0038 0.0038 0.9886
Zn 0.7523 0.7523 0.7431
```

Output
- E_form (uncorrected): 0.53 eV/f.u.

17.
## Nb2Ge2Mo (PBEsol)

Data for an optimized crystal structure of Nb2Ge2Mo. Values from VASP.

Structure (Quantum ESPRESSO input):
```
&SYSTEM
  ibrav = 0, nat = 10, ntyp = 3
/
ATOMIC_SPECIES
Mo 95.94 Mo.upf
Ge 72.64 Ge.upf
Nb 92.91 Nb.upf
CELL_PARAMETERS angstrom
-3.2310 1.3214 -0.7510
-2.8116 -5.7269 2.0198
-0.4571 2.4190 6.2227
ATOMIC_POSITIONS crystal
Mo 0.0000 0.0000 0.0000
Mo 0.0000 0.5000 0.5000
Ge 0.0000 0.3640 0.8640
Ge 0.0000 0.8640 0.6360
Ge 0.0000 0.6360 0.1360
Ge 0.0000 0.1360 0.3640
Nb 0.5000 0.1659 0.6659
Nb 0.5000 0.6659 0.8341
Nb 0.5000 0.8341 0.3341
Nb 0.5000 0.3341 0.1659
```

Output
- Calculated formation energy: -0.345 eV per atom

18.
## SrAlCu3 (PBEsol)

Data for an optimized crystal structure of SrAlCu3. Values from VASP.

Structure (Quantum ESPRESSO input):
```
&SYSTEM
  ibrav = 0, nat = 5, ntyp = 3
/
ATOMIC_SPECIES
Sr 87.62 Sr.upf
Al 26.98 Al.upf
Cu 63.55 Cu.upf
CELL_PARAMETERS angstrom
4.6203 0.0000 0.0000
0.0000 4.6203 0.0000
0.0000 0.0000 4.6203
ATOMIC_POSITIONS crystal
Sr 0.5000 0.5000 0.5000
Al 0.0000 0.0000 0.0000
Cu 0.0000 0.5000 0.0000
Cu 0.0000 0.0000 0.5000
Cu 0.5000 0.0000 0.0000
```

Output
- Calculated formation energy: 0.176 eV per atom
- Energy above the most stable polymorph in this dataset: 0.0 meV/atom

19.
## Tc3Br (PBEsol)

Data for an optimized crystal structure of Tc3Br. Values from VASP.

Structure (Quantum ESPRESSO input):
```
&SYSTEM
  ibrav = 0, nat = 4, ntyp = 2
/
ATOMIC_SPECIES
Tc 98.00 Tc.upf
Br 79.90 Br.upf
CELL_PARAMETERS angstrom
2.8441 0.0000 0.0000
-1.4221 2.4631 0.0000
0.0000 0.0000 8.5712
ATOMIC_POSITIONS crystal
Tc 0.0000 0.0000 0.5000
Tc 0.3333 0.6667 0.7399
Tc 0.3333 0.6667 0.2601
Br 0.0000 0.0000 0.0000
```

Output
- E_form (uncorrected): 1.79 eV/f.u.

20.
## AsSe2IBr (PBEsol)

Data for an optimized crystal structure of AsSe2IBr. Values from VASP.

Structure (Quantum ESPRESSO input):
```
&SYSTEM
  ibrav = 0, nat = 5, ntyp = 4
/
ATOMIC_SPECIES
I 126.90 I.upf
As 74.92 As.upf
Se 78.96 Se.upf
Br 79.90 Br.upf
CELL_PARAMETERS angstrom
-4.5876 1.9096 -2.1555
-2.4894 -4.6679 1.1629
-1.4301 1.9516 4.7725
ATOMIC_POSITIONS crystal
I 0.0000 0.0000 0.0000
As 0.5000 0.5000 0.5000
Se 0.0000 0.5000 0.0000
Se 0.5000 0.0000 0.0000
Br 0.0000 0.0000 0.5000
```

Output
- E_form (uncorrected): 4.96 eV/f.u.

Energy for every record listed, in sequence, given in eV/atom: -5.6356; -7.5221; -4.4081; -5.5899; -5.5688; -11.1724; -2.9266; -5.0879; -2.5934; -4.8831; -3.6901; -4.3060; -2.7896; -5.9335; -10.8158; -4.0767; -9.0028; -3.6104; -8.4687; -2.2961.